[1]
NaYTe2, relaxed, DFT PBE-GGA; SG = No. 15; ΔE_f (raw) = -1.072 eV per atom
1.0
18.2703 0.0000 -0.8451
3.0069 6.2780 -5.5228
-3.0069 6.2780 5.5228
Y Na Te
8 8 16
direct
0.1331 0.1509 0.2273
0.3669 0.7273 0.6509
0.8669 0.8491 0.7727
0.6331 0.2727 0.3491
0.3665 0.2233 0.6516
0.1335 0.1516 0.7233
0.6335 0.7767 0.3484
0.8665 0.8484 0.2767
0.3650 0.4791 0.1519
0.1350 0.6519 0.9791
0.6350 0.5209 0.8481
0.8650 0.3481 0.0209
0.3582 0.9811 0.1435
0.1418 0.6435 0.4811
0.6418 0.0189 0.8565
0.8582 0.3565 0.5189
0.9888 0.7580 0.6162
0.5112 0.1162 0.2580
0.0112 0.2420 0.3838
0.4888 0.8838 0.7420
0.7494 0.1990 0.1736
0.7506 0.6736 0.6990
0.2506 0.8010 0.8264
0.2494 0.3264 0.3010
0.5142 0.6151 0.2619
0.9858 0.7619 0.1151
0.4858 0.3849 0.7381
0.0142 0.2381 0.8849
0.7500 0.1998 0.6998
0.2500 0.8002 0.3002
0.7500 0.6731 0.1731
0.2500 0.3269 0.8269

=====

[2]
BaHgAs2, relaxed, DFT PBE-GGA; SG = No. 216; ΔH_f (0 K) = -179 meV/atom
1.0
5.3937 0.0000 0.0000
2.6968 4.6711 0.0000
2.6968 1.5570 4.4039
As Hg Ba
2 1 1
direct
0.0000 0.0000 0.0000
0.2500 0.2500 0.2500
0.7500 0.7500 0.7500
0.5000 0.5000 0.5000

=====

[3]
Ca2InCl, relaxed, DFT PBE-GGA; energy above the lowest structure with this stoichiometry = 0.825 eV/atom; SG = No. 216; ΔE_f (raw) = -0.253 eV per atom
1.0
5.6093 0.0000 0.0000
2.8047 4.8578 0.0000
2.8047 1.6193 4.5800
Ca Cl In
2 1 1
direct
0.0000 0.0000 0.0000
0.7500 0.7500 0.7500
0.5000 0.5000 0.5000
0.2500 0.2500 0.2500

=====

[4]
Ce8PuP2, relaxed, DFT PBE-GGA; SG = No. 12; ΔH_f (0 K) = -438 meV/atom
1.0
5.7371 -0.6012 -0.6024
-1.2243 6.5634 -3.2987
-0.7782 0.0952 7.4057
Ce Pu P
8 1 2
direct
0.5922 0.3028 0.0906
0.5922 0.0906 0.3028
0.1761 0.3572 0.3572
0.9999 0.2119 0.7941
0.9999 0.7941 0.2119
0.8239 0.6490 0.6490
0.4077 0.9156 0.7035
0.4077 0.7035 0.9156
0.0000 0.0031 0.0031
0.5000 0.6962 0.3101
0.5000 0.3101 0.6962

=====

[5]
NaAg4Te2, relaxed, DFT PBE-GGA; SG = No. 166; ΔE_f (raw) = -0.182 eV per atom
1.0
-0.4027 -2.6465 3.8766
2.3878 -4.0461 0.3484
7.2701 1.9755 4.9663
Na Ag Te
1 4 2
direct
0.0000 0.0000 0.0000
0.4429 0.4429 0.6713
0.1536 0.1536 0.5391
0.5571 0.5571 0.3287
0.8464 0.8464 0.4609
0.2656 0.2656 0.2032
0.7344 0.7344 0.7968

=====

[6]
TbCe2Cu2Ge2, relaxed, DFT PBE-GGA; SG = No. 166; ΔH_f (0 K) = -505 meV/atom
1.0
-3.7910 -1.6938 0.8212
-0.7075 -1.9048 3.7130
-4.2635 6.6951 5.0348
Tb Ce Cu Ge
1 2 2 2
direct
0.0000 0.0000 0.0000
0.1402 0.1402 0.5795
0.8598 0.8598 0.4205
0.5956 0.5956 0.2132
0.4044 0.4044 0.7868
0.7357 0.7357 0.7930
0.2643 0.2643 0.2070

=====

[7]
SrLiCu3, relaxed, DFT PBE-GGA; energy above the lowest structure with this stoichiometry = 0.213 eV/atom; SG = No. 221; ΔH_f (0 K) = 233 meV/atom
1.0
-4.5542 -0.4440 -0.1061
0.0042 -1.1041 4.4418
-0.4565 4.4196 1.0990
Sr Cu Li
1 3 1
direct
0.5000 0.5000 0.5000
0.0000 0.5000 0.0000
0.0000 0.0000 0.5000
0.5000 0.0000 0.0000
0.0000 0.0000 0.0000

=====

[8]
AgHg2TeBr2, relaxed, DFT PBE-GGA; SG = No. 36; ΔE_f (raw) = -0.181 eV per atom
1.0
6.2236 0.0000 0.0000
0.0000 7.1989 0.0000
0.0000 -3.5994 8.5751
Ag Hg Te Br
2 4 2 4
direct
0.3745 0.9757 0.0000
0.8745 0.0243 0.0000
0.7399 0.8857 0.3275
0.7399 0.5582 0.6725
0.2399 0.4418 0.3275
0.2399 0.1143 0.6725
0.6635 0.6980 0.0000
0.1635 0.3020 0.0000
0.2277 0.9313 0.3490
0.2277 0.5823 0.6510
0.7277 0.0687 0.6510
0.7277 0.4177 0.3490